No. 1
A plane-wave DFT calculation with GGA-PBE was carried out for a geometry-optimized Ti2CoAsPb structure.

Computed properties:
E_form ... 153 meV/atom
Space-group type ... No. 123

a = 4.7618 Å, b = 4.3425 Å, c = 4.7618 Å
α = 90.00°, β = 90.00°, γ = 90.00°
Closest atoms and distances in Å follow each position.
Positions (direct):
1 Ti 0.0000 0.0000 0.5000  2 As 2.38
2 Ti 0.5000 0.0000 0.0000  2 As 2.38
3 Co 0.0000 0.5000 0.0000  2 As 2.17
4 As 0.0000 0.0000 0.0000  2 Co 2.17, 4 Ti 2.38
5 Pb 0.5000 0.5000 0.5000  8 Ti 3.22, 4 Co 3.37


No. 2
A plane-wave DFT calculation with GGA-PBE was carried out for a geometry-optimized BiOsCl2 structure.

Computed properties:
Space-group type ... No. 166
Formation energy from raw total energies ... 0.367 eV per atom

a = 12.0145 Å, b = 12.0145 Å, c = 12.0145 Å
α = 14.82°, β = 14.82°, γ = 14.82°
Closest atoms and distances in Å follow each position.
Positions (direct):
1 Os 0.0000 0.0000 0.0000  2 Cl 2.21
2 Cl 0.9380 0.9380 0.9380  1 Os 2.21
3 Cl 0.0620 0.0620 0.0620  1 Os 2.21
4 Bi 0.5000 0.5000 0.5000  6 Bi 3.10